Below is a relaxed Tb2Sm6Y crystal, with properties calculated at the PBE-GGA level.

## Properties
Energy above the lowest structure with this stoichiometry: 8.0 kJ/mol of atoms
Space group: C2/c
Calculated total energy: -42.11 eV per formula unit
ΔE_f: 0.21 eV per atom

a b c (Å): 6.285 10.870 10.870
angles (deg): 86.09 65.03 65.03
Element x y z (fractional)
Tb 0.701 0.768 0.629
Sm 0.179 0.014 0.578
Sm 0.821 0.986 0.422
Sm 0.901 0.438 0.677
Sm 0.233 0.063 0.151
Tb 0.299 0.232 0.371
Y 0.250 0.180 0.820
Sm 0.733 0.151 0.063
Sm 0.599 0.323 0.562
Sm 0.679 0.578 0.014
Sm 0.767 0.937 0.849
Sm 0.267 0.849 0.937
Sm 0.099 0.562 0.323
Tb 0.799 0.371 0.232
Sm 0.401 0.677 0.438
Sm 0.321 0.422 0.986
Tb 0.201 0.629 0.768
Y 0.750 0.820 0.180

---

Below is a relaxed YSIN2 crystal, with properties calculated at the PBE-GGA level.

## Properties
Energy above the lowest structure with this stoichiometry: 33.6 kJ/mol of atoms
E_form (uncorrected): 1153 meV/atom
Space group: P4/mmm
Calculated total energy: -23.03 eV per formula unit

a b c (Å): 4.166 4.166 4.972
angles (deg): 90.00 90.00 90.00
Element x y z (fractional)
N 0.000 0.500 0.000
I 0.000 0.000 0.500
S 0.000 0.000 0.000
Y 0.500 0.500 0.500
N 0.500 0.000 0.000